Density functional theory data (PBE) for crystalline ScTlW at its relaxed geometry.

Computed properties:
Energy relative to the elements, meV per atom: 405
Symmetry: Fmm2
E_tot, eV per atom: -6.81
E above lowest polymorph, eV/atom: 0.000

a b c (Å): 7.416 7.257 2.998
angles (deg): 81.21 75.24 23.55
Fractional positions:
W 0.662 0.662 0.338
Tl 0.328 0.328 0.672
Sc 0.010 0.010 0.990